Record 1
A plane-wave DFT calculation with PBE was carried out for Mn3SbSe after structural relaxation.

Unit cell a=4.6467 b=4.6467 c=4.6467 alpha=90.00 beta=90.00 gamma=90.00
Closest atoms and distances in Å follow each position.
Element x y z (fractional)
Mn  0.0000  0.0000  0.5000  2 Se 2.32
Mn  0.0000  0.5000  0.0000  2 Se 2.32
Mn  0.5000  0.0000  0.0000  2 Se 2.32
Sb  0.5000  0.5000  0.5000  12 Mn 3.29
Se  0.0000  0.0000  0.0000  6 Mn 2.32

Computed properties:
- E_form (uncorrected) (meV/atom) = 499.0
- uncorrected energy (eV per formula unit) = -32.621

Record 2
A plane-wave DFT calculation with PBE was carried out for Cs2NaHPb after structural relaxation.

Unit cell a=6.3045 b=6.3045 c=5.0195 alpha=90.00 beta=90.00 gamma=90.00
Closest atoms and distances in Å follow each position.
Element x y z (fractional)
Cs  0.0000  0.5000  0.0000  2 H 3.15
Cs  0.5000  0.0000  0.0000  2 H 3.15
Na  0.0000  0.0000  0.5000  8 Cs 4.03, 4 Pb 4.46
H  0.5000  0.5000  0.0000  2 Pb 2.51
Pb  0.5000  0.5000  0.5000  2 H 2.51

Computed properties:
- uncorrected energy (eV per formula unit) = -9.752

Record 3
A plane-wave DFT calculation with PBE was carried out for CaMnIr after structural relaxation.

Unit cell a=3.9868 b=3.9868 c=4.5706 alpha=90.00 beta=90.00 gamma=120.00
Closest atoms and distances in Å follow each position.
Element x y z (fractional)
Ca  0.0000  0.0000  0.0000  6 Mn 3.24, 6 Ir 3.24
Mn  0.6667  0.3333  0.5000  3 Ir 2.30
Ir  0.3333  0.6667  0.5000  3 Mn 2.30

Computed properties:
- uncorrected energy (eV per formula unit) = -19.861

Record 4
A plane-wave DFT calculation with PBE was carried out for Sm2Tm3Hg3 after structural relaxation.

Unit cell a=11.5307 b=11.5307 c=11.5307 alpha=161.35 beta=153.74 gamma=32.40
Closest atoms and distances in Å follow each position.
Element x y z (fractional)
Sm  0.2310  0.2310  0.0000  2 Hg 3.19, 4 Sm 3.33
Sm  0.7690  0.7690  0.0000  2 Hg 3.19, 4 Sm 3.33
Tm  0.0000  0.0000  0.0000  8 Hg 3.15-3.22
Tm  0.3811  0.8811  0.5000  6 Hg 3.22-3.23
Tm  0.6189  0.1189  0.5000  6 Hg 3.22-3.23
Hg  0.1144  0.6143  0.5000  6 Tm 3.15-3.22, 2 Sm 3.19
Hg  0.5000  0.5000  0.0000  8 Tm 3.22-3.23
Hg  0.8856  0.3856  0.5000  6 Tm 3.15-3.22, 2 Sm 3.19

Computed properties:
- uncorrected energy (eV per formula unit) = -26.501

Record 5
A plane-wave DFT calculation with PBE was carried out for Hg2HPt2 after structural relaxation.

Unit cell a=6.5797 b=6.5797 c=10.2368 alpha=120.42 beta=120.42 gamma=26.02
Closest atoms and distances in Å follow each position.
Element x y z (fractional)
Hg  0.1349  0.1349  0.4638  5 Pt 2.89-2.98, 4 Hg 2.96-3.03
Hg  0.3095  0.3095  0.8396  1 H 2.73, 6 Pt 2.82-2.97, 2 Hg 2.96
Hg  0.6905  0.6905  0.1604  1 H 2.73, 6 Pt 2.82-2.97, 2 Hg 2.96
Hg  0.8651  0.8651  0.5362  5 Pt 2.89-2.98, 4 Hg 2.96-3.03
H  0.4083  0.4083  0.1483  3 Pt 1.77-1.84
H  0.5917  0.5917  0.8517  3 Pt 1.77-1.84
Pt  0.0185  0.0185  0.8769  2 H 1.84
Pt  0.4085  0.4085  0.3208  1 H 1.77
Pt  0.5915  0.5915  0.6792  1 H 1.77
Pt  0.9815  0.9815  0.1231  2 H 1.84

Computed properties:
- uncorrected energy (eV per formula unit) = -15.804

Record 6
A plane-wave DFT calculation with PBE was carried out for AlTeP2Cl after structural relaxation.

Unit cell a=5.0527 b=5.0527 c=5.4801 alpha=90.00 beta=90.00 gamma=90.00
Closest atoms and distances in Å follow each position.
Element x y z (fractional)
Al  0.0000  0.0000  0.0000  4 Cl 3.57, 8 P 3.73
Te  0.5000  0.5000  0.5000  4 P 2.53, 2 Cl 2.74
P  0.0000  0.5000  0.5000  2 Te 2.53
P  0.5000  0.0000  0.5000  2 Te 2.53
Cl  0.5000  0.5000  0.0000  2 Te 2.74

Computed properties:
- E_form (uncorrected) (meV/atom) = 841.7
- uncorrected energy (eV per formula unit) = -15.342

Record 7
A plane-wave DFT calculation with PBE was carried out for Al3AuO after structural relaxation.

Unit cell a=4.1248 b=4.1248 c=4.1248 alpha=90.00 beta=90.00 gamma=90.00
Closest atoms and distances in Å follow each position.
Element x y z (fractional)
Al  0.0000  0.0000  0.5000  2 O 2.06
Al  0.0000  0.5000  0.0000  2 O 2.06
Al  0.5000  0.0000  0.0000  2 O 2.06
Au  0.5000  0.5000  0.5000  12 Al 2.92
O  0.0000  0.0000  0.0000  6 Al 2.06

Computed properties:
- E_form (uncorrected) (meV/atom) = -484.6
- uncorrected energy (eV per formula unit) = -21.886

Record 8
A plane-wave DFT calculation with PBE was carried out for MnCuOs4 after structural relaxation.

Unit cell a=5.1197 b=5.1197 c=5.1197 alpha=60.00 beta=60.00 gamma=60.00
Closest atoms and distances in Å follow each position.
Element x y z (fractional)
Mn  0.0000  0.0000  0.0000  12 Os 3.00, 4 Cu 3.14
Cu  0.7500  0.7500  0.7500  12 Os 3.00, 4 Mn 3.14
Os  0.3750  0.3750  0.3750  6 Os 2.56
Os  0.3750  0.3750  0.8750  6 Os 2.56
Os  0.3750  0.8750  0.3750  6 Os 2.56
Os  0.8750  0.3750  0.3750  6 Os 2.56

Computed properties:
- uncorrected energy (eV per formula unit) = -53.671

Record 9
A plane-wave DFT calculation with PBE was carried out for AcPmF2 after structural relaxation.

Unit cell a=7.0494 b=7.0494 c=7.0494 alpha=33.60 beta=33.60 gamma=33.60
Closest atoms and distances in Å follow each position.
Element x y z (fractional)
Ac  0.0000  0.0000  0.0000  2 F 2.69
Pm  0.5000  0.5000  0.5000  6 F 2.44
F  0.1351  0.1351  0.1351  3 Pm 2.44, 3 F 2.67, 1 Ac 2.69
F  0.8649  0.8649  0.8649  3 Pm 2.44, 3 F 2.67, 1 Ac 2.69

Computed properties:
- E_form (uncorrected) (meV/atom) = -2636.3
- uncorrected energy (eV per formula unit) = -23.147

Record 10
A plane-wave DFT calculation with PBE was carried out for LaGa3Pt after structural relaxation.

Unit cell a=6.2006 b=6.2006 c=6.2006 alpha=139.46 beta=139.46 gamma=58.67
Closest atoms and distances in Å follow each position.
Element x y z (fractional)
La  0.0000  0.0000  0.0000  12 Ga 3.29-3.45, 4 Pt 3.45
Ga  0.3830  0.3830  0.0000  3 Ga 2.53-2.58, 2 Pt 2.58
Ga  0.6170  0.6170  0.0000  3 Ga 2.53-2.58, 2 Pt 2.58
Ga  0.7500  0.2500  0.5000  4 Ga 2.58
Pt  0.2500  0.7500  0.5000  4 Ga 2.58

Computed properties:
- uncorrected energy (eV per formula unit) = -23.842

Record 11
A plane-wave DFT calculation with PBE was carried out for La4Pr2Sb3N2 after structural relaxation.

Unit cell a=13.7883 b=13.7883 c=13.7883 alpha=159.67 beta=159.67 gamma=28.91
Closest atoms and distances in Å follow each position.
Element x y z (fractional)
La  0.0839  0.5839  0.5000  2 N 2.51
La  0.4161  0.9161  0.5000  2 N 2.51
La  0.5839  0.0839  0.5000  2 N 2.51
La  0.9161  0.4161  0.5000  2 N 2.51
Pr  0.1948  0.1948  0.0000  1 N 2.37
Pr  0.8052  0.8052  0.0000  1 N 2.37
Sb  0.3206  0.3206  0.0000  5 Pr 3.36-3.47, 4 La 3.53
Sb  0.5000  0.5000  0.0000  8 La 3.31
Sb  0.6794  0.6794  0.0000  5 Pr 3.36-3.47, 4 La 3.53
N  0.1062  0.1062  0.0000  1 Pr 2.37, 4 La 2.51
N  0.8938  0.8938  0.0000  1 Pr 2.37, 4 La 2.51

Computed properties:
- E_form (uncorrected) (meV/atom) = -1185.0
- uncorrected energy (eV per formula unit) = -71.322

Record 12
A plane-wave DFT calculation with PBE was carried out for YTaIr after structural relaxation.

Unit cell a=5.4776 b=5.4776 c=5.4776 alpha=118.99 beta=116.44 gamma=94.02
Closest atoms and distances in Å follow each position.
Element x y z (fractional)
Y  0.3830  0.1330  0.2500  6 Ir 3.10-3.29, 6 Ta 3.18-3.32, 2 Y 3.28
Y  0.6170  0.8670  0.7500  6 Ir 3.10-3.29, 6 Ta 3.18-3.32, 2 Y 3.28
Ta  0.0000  0.0000  0.5000  4 Ir 2.74, 2 Ta 2.78
Ta  0.0000  0.5000  0.0000  4 Ir 2.74, 2 Ta 2.78
Ir  0.0000  0.5000  0.5000  4 Ta 2.74, 2 Ir 2.88
Ir  0.5000  0.5000  0.0000  4 Ta 2.74, 2 Ir 2.88

Computed properties:
- uncorrected energy (eV per formula unit) = -28.910

Record 13
A plane-wave DFT calculation with PBE was carried out for KCd2SiIr after structural relaxation.

Unit cell a=5.3349 b=5.3349 c=4.5785 alpha=90.00 beta=90.00 gamma=90.00
Closest atoms and distances in Å follow each position.
Element x y z (fractional)
K  0.0000  0.0000  0.0000  8 Cd 3.52, 4 Si 3.77
Cd  0.0000  0.5000  0.5000  2 Ir 2.67
Cd  0.5000  0.0000  0.5000  2 Ir 2.67
Si  0.5000  0.5000  0.0000  2 Ir 2.29
Ir  0.5000  0.5000  0.5000  2 Si 2.29

Computed properties:
- E_form (uncorrected) (meV/atom) = -168.5
- uncorrected energy (eV per formula unit) = -18.054

Computed values of density of states at the Fermi level (unit: states/eV/f.u.) for the preceding records, in sequence: 5.81, 2.80, 3.25, 6.67, 1.73, 3.16, 2.42, 8.03, 2.04, 2.29, 5.03, 2.09, 0.96.